A plane-wave DFT calculation with PBE was carried out for a relaxed structure of Sm2Tl3Hg.

Geometry as POSCAR:
```
Sm2Tl3Hg
1.0
3.617 0.000 0.000
0.000 5.019 0.000
0.000 0.000 9.147
Tl Sm Hg
3 2 1
Cartesian
1.808 0.000 7.650
1.808 0.000 1.565
1.808 2.509 6.025
0.000 2.509 0.044
0.000 0.000 4.533
1.808 2.509 3.049
```

D(E_F), states/eV/f.u.: 5.27
Crystal system: orthorhombic
Energy of formation, eV per atom: -0.2506
DFT total energy, eV per cell: -18.343